No. 1
Material: CuIr4Pt
Method: DFT, SCAN
State: PBEsol geometry

The structure belongs to space group F-43m (No. 216); the cell edges are 7.1754, 7.1754 and 7.1754 Å and the angles 90.00°, 90.00° and 90.00°. The distinct sites, in fractional coordinates, are Cu at (0.0000, 0.0000, 0.0000), Ir at (0.1251, 0.1251, 0.3749) and Pt at (0.2500, 0.2500, 0.7500).

The density is 18.5 g cm⁻³. For the formation energy, the calculation gives 0.706 eV/atom. Its final energy is -1462.2 eV per cell. The density of states at the Fermi level comes out at 24.01 states/eV/cell.

---

No. 2
Material: Cu3IrPt
Method: DFT, SCAN
State: PBEsol geometry

The structure belongs to space group Pm-3m (No. 221); the cell edges are 4.4783, 4.4783 and 4.4783 Å and the angles 90.00°, 90.00° and 90.00°. The distinct sites, in fractional coordinates, are Cu at (0.0000, 0.0000, 0.5000), Ir at (0.5000, 0.5000, 0.5000) and Pt at (0.0000, 0.0000, 0.0000).

The density is 10.7 g cm⁻³. For the formation energy, the calculation gives 1.584 eV/atom. Its final energy is -179.0 eV per cell. The density of states at the Fermi level comes out at 5.98 states/eV/cell.

---

No. 3
Material: ZnCu2IrPt
Method: DFT, SCAN
State: PBEsol geometry

The structure belongs to space group P4/mmm (No. 123); the cell edges are 4.5981, 4.5981 and 4.7195 Å and the angles 90.00°, 90.00° and 90.00°. The distinct sites, in fractional coordinates, are Zn at (0.0000, 0.0000, 0.0000), Cu at (0.0000, 0.5000, 0.5000), Ir at (0.5000, 0.5000, 0.5000) and Pt at (0.5000, 0.5000, 0.0000).

The density is 9.6 g cm⁻³. For the formation energy, the calculation gives 1.129 eV/atom. Its final energy is -179.6 eV per cell. The density of states at the Fermi level comes out at 3.80 states/eV/cell.

---

No. 4
Material: RbCu3Ir
Method: DFT, SCAN
State: PBEsol geometry

The structure belongs to space group Pm-3m (No. 221); the cell edges are 4.7496, 4.7496 and 4.7496 Å and the angles 90.00°, 90.00° and 90.00°. The distinct sites, in fractional coordinates, are Rb at (0.0000, 0.0000, 0.0000), Cu at (0.0000, 0.5000, 0.5000) and Ir at (0.5000, 0.5000, 0.5000).

The density is 7.3 g cm⁻³. For the formation energy, the calculation gives 0.753 eV/atom. Its final energy is -133.7 eV per cell. The density of states at the Fermi level comes out at 6.00 states/eV/cell.

---

No. 5
Material: Cu2ReIr
Method: DFT, SCAN
State: PBEsol geometry

The structure belongs to space group C2/m (No. 12); the cell edges are 8.7085, 2.6737 and 4.5636 Å and the angles 90.00°, 100.02° and 90.00°. The distinct sites, in fractional coordinates, are Cu at (0.2497, 0.0000, 0.2481), Re at (0.0000, 0.5000, 0.0000) and Ir at (0.0000, 0.0000, 0.5000).

The density is 16.0 g cm⁻³. The polymorph energy (0 for the lowest one) comes out at 0.000 eV/atom. For the formation energy, the calculation gives 0.148 eV/atom. Its final energy is -344.0 eV per cell. The density of states at the Fermi level comes out at 5.12 states/eV/cell.

---

No. 6
Material: CuReIr2
Method: DFT, SCAN
State: PBEsol geometry

The structure belongs to space group F-43m (No. 216); the cell edges are 6.0461, 6.0461 and 6.0461 Å and the angles 90.00°, 90.00° and 90.00°. The distinct sites, in fractional coordinates, are Cu at (0.0000, 0.0000, 0.0000), Re at (0.2500, 0.2500, 0.7500), Ir at (0.0000, 0.0000, 0.5000) and Ir at (0.2500, 0.2500, 0.2500).

The density is 19.1 g cm⁻³. The polymorph energy (0 for the lowest one) comes out at 0.503 eV/atom. For the formation energy, the calculation gives 0.387 eV/atom. Its final energy is -907.8 eV per cell. The density of states at the Fermi level comes out at 14.96 states/eV/cell.

---

Copy entry 1 word for word.
Material: CuIr4Pt
Method: DFT, SCAN
State: PBEsol geometry

The structure belongs to space group F-43m (No. 216); the cell edges are 7.1754, 7.1754 and 7.1754 Å and the angles 90.00°, 90.00° and 90.00°. The distinct sites, in fractional coordinates, are Cu at (0.0000, 0.0000, 0.0000), Ir at (0.1251, 0.1251, 0.3749) and Pt at (0.2500, 0.2500, 0.7500).

The density is 18.5 g cm⁻³. For the formation energy, the calculation gives 0.706 eV/atom. Its final energy is -1462.2 eV per cell. The density of states at the Fermi level comes out at 24.01 states/eV/cell.